[1]
# TbPm7Cd4 PBE optimized geometry
# Calculated formation energy, eV per formula unit: -0.3
data_TbPm7Cd4
_chemical_formula_sum 'Tb2 Pm14 Cd8'
_cell_length_a 15.0027
_cell_length_b 5.8272
_cell_length_c 9.9458
_cell_angle_alpha 90.00
_cell_angle_beta 122.04
_cell_angle_gamma 90.00
_symmetry_space_group_name_H-M 'C 1 2/m 1'
_symmetry_Int_Tables_number 12
loop_
_symmetry_equiv_pos_as_xyz
'x,y,z'
'-x,-y,-z'
'-x,y,-z'
'x,-y,z'
'x+1/2,y+1/2,z'
'-x+1/2,-y+1/2,-z'
'-x+1/2,y+1/2,-z'
'x+1/2,-y+1/2,z'
loop_
_atom_site_label
_atom_site_fract_x
_atom_site_fract_y
_atom_site_fract_z
Tb1 0.0000 0.0000 0.0000
Pm1 0.0000 0.5000 0.0000
Pm2 0.0700 0.0000 0.4097
Pm3 0.2043 0.0000 0.8821
Pm4 0.2370 0.5000 0.6936
Cd1 0.0410 0.5000 0.7130
Cd2 0.1812 0.5000 0.3429



[2]
# CeZn3GaAu PBE optimized geometry
# Calculated formation energy, eV per formula unit: -0.9
data_CeZn3GaAu
_chemical_formula_sum 'Ce4 Zn12 Ga4 Au4'
_cell_length_a 5.8881
_cell_length_b 14.0904
_cell_length_c 5.7890
_cell_angle_alpha 90.00
_cell_angle_beta 90.00
_cell_angle_gamma 90.00
_symmetry_space_group_name_H-M 'C m c m'
_symmetry_Int_Tables_number 63
_symmetry_space_group_name_Hall '-C 2c 2'
loop_
_atom_site_label
_atom_site_fract_x
_atom_site_fract_y
_atom_site_fract_z
Ce1 0.0000 0.1884 0.2500
Zn1 0.0000 0.3874 0.7500
Zn2 0.2137 0.0000 0.0000
Ga1 0.0000 0.1449 0.7500
Au1 0.0000 0.3924 0.2500



[3]
# KW3Cl PBE optimized geometry
# Formation energy from raw total energies, meV/atom: 4143
data_KW3Cl
_chemical_formula_sum 'K1 W3 Cl1'
_cell_length_a 4.6868
_cell_length_b 4.6868
_cell_length_c 4.6868
_cell_angle_alpha 90.00
_cell_angle_beta 90.00
_cell_angle_gamma 90.00
_symmetry_space_group_name_H-M 'P m -3 m'
_symmetry_Int_Tables_number 221
_symmetry_space_group_name_Hall '-P 4 2 3'
loop_
_atom_site_label
_atom_site_fract_x
_atom_site_fract_y
_atom_site_fract_z
K1 0.0000 0.0000 0.0000
W1 0.0000 0.0000 0.5000
Cl1 0.5000 0.5000 0.5000



[4]
# Tb3ZnOs PBE optimized geometry
# Calculated formation energy, eV per formula unit: -1.4
data_Tb3ZnOs
_chemical_formula_sum 'Tb24 Zn8 Os8'
_cell_length_a 6.4053
_cell_length_b 9.5857
_cell_length_c 15.8170
_cell_angle_alpha 90.00
_cell_angle_beta 90.00
_cell_angle_gamma 90.00
_symmetry_space_group_name_H-M 'F m m m'
_symmetry_Int_Tables_number 69
_symmetry_space_group_name_Hall '-F 2 2'
loop_
_atom_site_label
_atom_site_fract_x
_atom_site_fract_y
_atom_site_fract_z
Tb1 0.0000 0.0000 0.1974
Tb2 0.0000 0.1859 0.3945
Zn1 0.1925 0.0000 0.0000
Os1 0.2500 0.2500 0.2500



In order of appearance, total DFT energy (no corrections) = -83.6, -67.9, -21.1, -222.3 eV per cell.